Record 1
A relaxed Ce4PdCl4 crystal, computed with PBE-GGA.

Cell: 12.1196 8.6132 3.4710 Å, 113.97 106.81 43.66°
Last column: nearest neighbours and their distance in Å.
Fractional positions:
1 Ce 0.9100 0.3625 0.7703  2 Pd 2.84-2.86, 4 Cl 3.10-3.16
2 Ce 0.0900 0.6375 0.2297  2 Pd 2.84-2.86, 4 Cl 3.10-3.16
3 Ce 0.3052 0.8133 0.6191  6 Cl 3.00-3.09, 2 Pd 3.24
4 Ce 0.6948 0.1867 0.3809  6 Cl 3.00-3.09, 2 Pd 3.24
5 Pd 0.0000 0.0000 0.0000  4 Ce 2.84-2.86
6 Cl 0.6034 0.5773 0.1825  6 Ce 3.01-3.20, 1 Cl 3.36
7 Cl 0.3966 0.4227 0.8175  6 Ce 3.01-3.20, 1 Cl 3.36
8 Cl 0.1880 0.2189 0.4088  6 Ce 3.00-3.16
9 Cl 0.8120 0.7811 0.5912  6 Ce 3.00-3.16

ΔE_f (raw) = -1.262 eV per atom



Record 2
A relaxed GaGeF6 crystal, computed with PBE-GGA.

Cell: 5.2767 5.2770 5.4744 Å, 61.18 61.18 59.99°
Last column: nearest neighbours and their distance in Å.
Fractional positions:
1 Ga 0.5000 0.5000 0.5000  6 F 1.94
2 Ge 0.0000 0.0000 0.0000  6 F 1.99
3 F 0.1597 0.3465 0.7468  1 Ga 1.94, 1 Ge 1.99
4 F 0.7473 0.1596 0.7467  1 Ga 1.94, 1 Ge 1.99
5 F 0.6535 0.2528 0.2532  1 Ga 1.94, 1 Ge 1.99
6 F 0.2527 0.8404 0.2533  1 Ga 1.94, 1 Ge 1.99
7 F 0.8403 0.6535 0.2532  1 Ga 1.94, 1 Ge 1.99
8 F 0.3465 0.7472 0.7468  1 Ga 1.94, 1 Ge 1.99

ΔE_f (raw) = -2.324 eV per atom



Record 3
A relaxed VSbH2 crystal, computed with PBE-GGA.

Cell: 4.1507 4.1507 6.2444 Å, 70.59 70.59 90.00°
Last column: nearest neighbours and their distance in Å.
Fractional positions:
1 Sb 0.0000 0.0000 0.0000  8 H 2.70, 4 V 2.94
2 Sb 0.7500 0.2500 0.5000  8 H 2.70, 4 V 2.94
3 V 0.5000 0.5000 0.0000  4 H 1.72
4 V 0.2500 0.7500 0.5000  4 H 1.72
5 H 0.3750 0.1250 0.2500  2 V 1.72
6 H 0.3750 0.6250 0.2500  2 V 1.72
7 H 0.3750 0.6250 0.7500  2 V 1.72
8 H 0.8750 0.6250 0.7500  2 V 1.72

Offset from the most stable computed form = 0.0 kJ per mole of atoms



Record 4
A relaxed Sm3AlCu2Ni9 crystal, computed with PBE-GGA.

Cell: 5.8505 5.8505 8.8325 Å, 90.00 90.00 120.00°
Last column: nearest neighbours and their distance in Å.
Fractional positions:
1 Sm 0.3333 0.6667 0.7013  9 Ni 2.95-3.13
2 Sm 0.0000 0.0000 0.0000  12 Ni 2.86-2.93
3 Sm 0.6667 0.3333 0.2987  9 Ni 2.95-3.13
4 Al 0.0000 0.0000 0.5000  6 Ni 2.34
5 Cu 0.3333 0.6667 0.1825  6 Ni 2.21-2.33
6 Cu 0.6667 0.3333 0.8175  6 Ni 2.21-2.33
7 Ni 0.8655 0.1345 0.7154  1 Cu 2.21, 1 Al 2.34, 2 Ni 2.36
8 Ni 0.8655 0.7310 0.7154  1 Cu 2.21, 1 Al 2.34, 2 Ni 2.36
9 Ni 0.2690 0.1345 0.7154  1 Cu 2.21, 1 Al 2.34, 2 Ni 2.36
10 Ni 0.7310 0.8655 0.2846  1 Cu 2.21, 1 Al 2.34, 2 Ni 2.36
11 Ni 0.1345 0.2690 0.2846  1 Cu 2.21, 1 Al 2.34, 2 Ni 2.36
12 Ni 0.1345 0.8655 0.2846  1 Cu 2.21, 1 Al 2.34, 2 Ni 2.36
13 Ni 0.5000 0.0000 0.0000  2 Cu 2.33
14 Ni 0.0000 0.5000 0.0000  2 Cu 2.33
15 Ni 0.5000 0.5000 0.0000  2 Cu 2.33

E = -5.18 eV per atom



We obtain ρ values of 5.875; 3.882; 6.111; 7.188 Mg/m³ for the records listed above, in that order.
We obtain V values of 25.4; 13.7; 11.9; 17.5 A^3/atom for the records listed above, in that order.